# KBeSe GGA-PBE optimized geometry
data_KBeSe
_chemical_formula_sum 'K4 Be4 Se4'
_space_group_name_H-M_alt 'I m m m'
_space_group_IT_number 71
_space_group_name_Hall '-I 2 2'
_cell_length_a 3.671
_cell_length_b 9.025
_cell_length_c 9.268
_cell_angle_alpha 90.00
_cell_angle_beta 90.00
_cell_angle_gamma 90.00
loop_
_atom_site_label
_atom_site_type_symbol
_atom_site_fract_x
_atom_site_fract_y
_atom_site_fract_z
K1 K 0.000 0.000 0.210
Be1 Be 0.000 0.379 0.000
Se1 Se 0.000 0.258 0.500
# Magnetization (μB per atom): 0.00
# Crystal system: orthorhombic
# Energy relative to the elements, uncorrected (eV/atom): -0.614
# Energy relative to the lowest polymorph listed for this composition (meV/atom): 25

# B2IrC GGA-PBE optimized geometry
data_B2IrC
_chemical_formula_sum 'B2 Ir1 C1'
_space_group_name_H-M_alt 'P m m 2'
_space_group_IT_number 25
_space_group_name_Hall 'P 2 -2'
_cell_length_a 2.711
_cell_length_b 2.793
_cell_length_c 5.118
_cell_angle_alpha 90.00
_cell_angle_beta 90.00
_cell_angle_gamma 90.00
loop_
_atom_site_label
_atom_site_type_symbol
_atom_site_fract_x
_atom_site_fract_y
_atom_site_fract_z
B1 B 0.000 0.000 0.000
B2 B 0.000 0.500 0.447
Ir1 Ir 0.500 0.500 0.803
C1 C 0.000 0.000 0.308
# Magnetization (μB per atom): 0.00
# Crystal system: orthorhombic
# Energy relative to the elements (eV/atom): 0.20

# AcPuRu4 GGA-PBE optimized geometry
data_AcPuRu4
_chemical_formula_sum 'Ac4 Pu4 Ru16'
_space_group_name_H-M_alt 'F -4 3 m'
_space_group_IT_number 216
_space_group_name_Hall 'F -4 2 3'
_cell_length_a 7.689
_cell_length_b 7.689
_cell_length_c 7.689
_cell_angle_alpha 90.00
_cell_angle_beta 90.00
_cell_angle_gamma 90.00
loop_
_atom_site_label
_atom_site_type_symbol
_atom_site_fract_x
_atom_site_fract_y
_atom_site_fract_z
Ac1 Ac 0.000 0.000 0.000
Pu1 Pu 0.250 0.250 0.250
Ru1 Ru 0.124 0.124 0.624
# Magnetization (μB per atom): 0.49
# Crystal system: cubic
# Energy relative to the elements (eV/atom): -0.02